Model 1:
# LiTcIr

A relaxed LiTcIr crystal (PBE-GGA, Alexandria).

Geometry as CIF:
```
data_LiTcIr
_chemical_formula_sum 'Li2 Tc2 Ir2'
_cell_length_a 2.897
_cell_length_b 2.897
_cell_length_c 9.373
_cell_angle_alpha 90.00
_cell_angle_beta 90.00
_cell_angle_gamma 90.00
_space_group_name_H-M_alt 'I 4 m m'
_space_group_IT_number 107
_space_group_name_Hall 'I 4 -2'
loop_
_atom_site_label
_atom_site_fract_x
_atom_site_fract_y
_atom_site_fract_z
Li1 0.000 0.000 0.000
Tc1 0.000 0.000 0.671
Ir1 0.000 0.000 0.343
```

Calculated values
Magnetic moment in μB per cell: 0.000



Model 2:
# LiTcIr

A relaxed LiTcIr crystal (PBE-GGA, Alexandria).

Geometry as CIF:
```
data_LiTcIr
_chemical_formula_sum 'Li2 Tc2 Ir2'
_cell_length_a 2.722
_cell_length_b 3.854
_cell_length_c 7.778
_cell_angle_alpha 90.00
_cell_angle_beta 90.00
_cell_angle_gamma 90.00
_space_group_name_H-M_alt 'I m m 2'
_space_group_IT_number 44
loop_
_space_group_symop_operation_xyz
'x,y,z'
'-x,-y,z'
'-x,y,z'
'x,-y,z'
'x+1/2,y+1/2,z+1/2'
'-x+1/2,-y+1/2,z+1/2'
'-x+1/2,y+1/2,z+1/2'
'x+1/2,-y+1/2,z+1/2'
loop_
_atom_site_label
_atom_site_fract_x
_atom_site_fract_y
_atom_site_fract_z
Li1 0.000 0.000 0.000
Tc1 0.000 0.000 0.676
Ir1 0.000 0.000 0.330
```

Calculated values
Magnetic moment in μB per cell: 0.000



What should be chosen as the most stable of them? Choose model 2.



Model 1:
# LiTcIr

A relaxed LiTcIr crystal (PBE-GGA, Alexandria).

Geometry as CIF:
```
data_LiTcIr
_chemical_formula_sum 'Li4 Tc4 Ir4'
_cell_length_a 5.776
_cell_length_b 5.776
_cell_length_c 5.776
_cell_angle_alpha 90.00
_cell_angle_beta 90.00
_cell_angle_gamma 90.00
_space_group_name_H-M_alt 'F -4 3 m'
_space_group_IT_number 216
_space_group_name_Hall 'F -4 2 3'
loop_
_atom_site_label
_atom_site_fract_x
_atom_site_fract_y
_atom_site_fract_z
Li1 0.000 0.000 0.000
Tc1 0.000 0.000 0.500
Ir1 0.250 0.250 0.750
```

Calculated values
Magnetic moment in μB per cell: 0.000



Model 2:
# LiTcIr

A relaxed LiTcIr crystal (PBE-GGA, Alexandria).

Geometry as CIF:
```
data_LiTcIr
_chemical_formula_sum 'Li2 Tc2 Ir2'
_cell_length_a 2.7154
_cell_length_b 2.7154
_cell_length_c 13.5773
_cell_angle_alpha 90.00
_cell_angle_beta 90.00
_cell_angle_gamma 120.00
_space_group_name_H-M_alt 'P -6 m 2'
_space_group_IT_number 187
_space_group_name_Hall 'P -6 2'
loop_
_atom_site_label
_atom_site_fract_x
_atom_site_fract_y
_atom_site_fract_z
Li1 0.0000 0.0000 0.1584
Tc1 0.6667 0.3333 0.3402
Ir1 0.0000 0.0000 0.5000
Ir2 0.6667 0.3333 0.0000
```

Calculated values
Magnetic moment in μB per cell: 0.000



Model 3:
# LiTcIr

A relaxed LiTcIr crystal (PBE-GGA, Alexandria).

Geometry as CIF:
```
data_LiTcIr
_chemical_formula_sum 'Li4 Tc4 Ir4'
_cell_length_a 2.774
_cell_length_b 4.576
_cell_length_c 13.807
_cell_angle_alpha 90.00
_cell_angle_beta 90.00
_cell_angle_gamma 90.00
_space_group_name_H-M_alt 'F m m 2'
_space_group_IT_number 42
_space_group_name_Hall 'F 2 -2'
loop_
_atom_site_label
_atom_site_fract_x
_atom_site_fract_y
_atom_site_fract_z
Li1 0.000 0.000 0.000
Tc1 0.000 0.000 0.325
Ir1 0.000 0.000 0.663
```

Calculated values
Magnetic moment in μB per cell: 0.000



What should be chosen as the most stable of them? Choose model 2.